# NbPb2Cl PBE optimized geometry
# Formation energy (no corrections) in eV per atom: 0.701
# Crystal system: tetragonal
# Calculated density in g cm⁻³: 6.125
# Calculated volume in Å³ per cell: 589
# Energy above the lowest structure with this stoichiometry in meV/atom: 114
data_NbPb2Cl
_symmetry_space_group_name_H-M 'I -4 2 d'
_symmetry_Int_Tables_number 122
_symmetry_space_group_name_Hall 'I -4 2bw'
_cell_length_a 6.1650
_cell_length_b 6.1650
_cell_length_c 15.4865
_cell_angle_alpha 90.00
_cell_angle_beta 90.00
_cell_angle_gamma 90.00
loop_
_atom_site_label
_atom_site_fract_x
_atom_site_fract_y
_atom_site_fract_z
_atom_site_occupancy
Nb1 0.0000 0.0000 0.0000 1
Pb1 0.2065 0.2500 0.1250 1
Cl1 0.0000 0.0000 0.5000 1